This record from the Alexandria database describes an optimized crystal structure of CaNi2PbO. The functional is PBE+U.

Geometry as POSCAR:
```
CaNi2PbO
1.0
4.132 0.000 0.000
0.000 4.132 0.000
0.000 0.000 5.094
Ca Ni Pb O
1 2 1 1
direct
0.000 0.000 0.000 Ca
0.000 0.500 0.500 Ni
0.500 0.000 0.500 Ni
0.500 0.500 0.000 Pb
0.500 0.500 0.500 O
```

Computed properties:
Offset from the most stable computed form (eV per atom): 0.000
Symmetry: P4/mmm (123)
Magnetic moment (μB/f.u.): 0.0